1.
{
  "formula": "La2SmPd",
  "functional": "GGA-PBE",
  "state": "optimized geometry",
  "lattice": [[3.762, 0.000, 0.000], [0.000, 3.762, 0.000], [0.000, 0.000, 8.536]],
  "species": ["La", "La", "Sm", "Pd"],
  "fractional_positions": [[0.000, 0.000, 0.204], [0.000, 0.000, 0.796], [0.500, 0.500, 0.500], [0.500, 0.500, 0.000]],
  "volume_a3_per_atom": 30.199,
  "space_group": "P4/mmm, No. 123",
  "polymorph_energy_mev_per_atom": 81,
  "e_form_kcal_per_mol_atoms": -7.68,
  "e_tot_ev_per_cell": -21.10
}



2.
{
  "formula": "LaSm3Pd2",
  "functional": "GGA-PBE",
  "state": "optimized geometry",
  "lattice": [[6.475, -3.476, 0.000], [6.475, 3.476, 0.000], [-2.468, 0.000, 7.618]],
  "species": ["La", "La", "Sm", "Sm", "Sm", "Sm", "Sm", "Sm", "Pd", "Pd", "Pd", "Pd"],
  "fractional_positions": [[0.243, 0.757, 0.750], [0.757, 0.243, 0.250], [0.212, 0.218, 0.107], [0.218, 0.212, 0.607], [0.252, 0.748, 0.250], [0.748, 0.252, 0.750], [0.782, 0.788, 0.393], [0.788, 0.782, 0.893], [0.378, 0.381, 0.440], [0.381, 0.378, 0.940], [0.619, 0.622, 0.060], [0.622, 0.619, 0.560]],
  "volume_a3_per_atom": 28.577,
  "space_group": "C2/c, No. 15",
  "e_form_kcal_per_mol_atoms": -11.52,
  "e_tot_ev_per_cell": -64.93
}



3.
{
  "formula": "La2SmPd",
  "functional": "GGA-PBE",
  "state": "optimized geometry",
  "lattice": [[1.980, 1.143, 9.636], [-1.980, 1.143, 9.636], [0.000, -2.286, 9.636]],
  "species": ["La", "La", "Sm", "Pd"],
  "fractional_positions": [[0.000, 0.000, 0.000], [0.203, 0.203, 0.203], [0.769, 0.769, 0.769], [0.601, 0.601, 0.601]],
  "volume_a3_per_atom": 32.707,
  "space_group": "R3m, No. 160",
  "polymorph_energy_mev_per_atom": 130,
  "e_form_kcal_per_mol_atoms": -6.54,
  "e_tot_ev_per_cell": -20.90
}



4.
{
  "formula": "LaSm2Pd9",
  "functional": "GGA-PBE",
  "state": "optimized geometry",
  "lattice": [[4.197, 0.000, 0.000], [0.000, 4.197, 0.000], [0.000, 0.000, 12.558]],
  "species": ["La", "Sm", "Sm", "Pd", "Pd", "Pd", "Pd", "Pd", "Pd", "Pd", "Pd", "Pd"],
  "fractional_positions": [[0.000, 0.000, 0.000], [0.000, 0.000, 0.336], [0.000, 0.000, 0.664], [0.000, 0.500, 0.170], [0.000, 0.500, 0.500], [0.000, 0.500, 0.830], [0.500, 0.000, 0.170], [0.500, 0.000, 0.500], [0.500, 0.000, 0.830], [0.500, 0.500, 0.000], [0.500, 0.500, 0.334], [0.500, 0.500, 0.666]],
  "volume_a3_per_atom": 18.437,
  "space_group": "P4/mmm, No. 123",
  "e_form_kcal_per_mol_atoms": -18.45,
  "e_tot_ev_per_cell": -70.70
}